This record from the Alexandria database describes crystalline Dy6TeAs3Se2 at its relaxed geometry. The functional is PBE.

Output
As for the calculated total energy: -5.931 eV/atom. For the uncorrected formation energy, the calculation gives -1.625 eV per atom. The calculated volume is 607.0 Å³ per cell.

```
data_Dy6TeAs3Se2
_space_group_name_H-M_alt 'C 1 2/m 1'
_space_group_IT_number 12
_space_group_name_Hall '-C 2y'
_cell_length_a 18.1465
_cell_length_b 4.1335
_cell_length_c 8.3389
_cell_angle_alpha 90.00
_cell_angle_beta 103.97
_cell_angle_gamma 90.00
loop_
_atom_site_label
_atom_site_type_symbol
_atom_site_fract_x
_atom_site_fract_y
_atom_site_fract_z
_atom_site_occupancy
Dy1 Dy 0.0020 0.0000 0.2300 1
Dy2 Dy 0.1643 0.5000 0.0902 1
Dy3 Dy 0.1748 0.5000 0.5782 1
Te1 Te 0.0000 0.5000 0.5000 1
As1 As 0.0000 0.5000 0.0000 1
As2 As 0.1648 0.0000 0.3316 1
Se1 Se 0.1676 0.0000 0.8337 1
```

This record from the Alexandria database describes crystalline NaScSN2 at its relaxed geometry. The functional is PBE.

Output
As for the calculated total energy: -4.481 eV/atom. For the uncorrected formation energy, the calculation gives 1.204 eV per atom. The calculated volume is 82.9 Å³ per cell. The value obtained for the offset from the most stable computed form is 1.007 eV/atom.

```
data_NaScSN2
_space_group_name_H-M_alt 'P 4/m m m'
_space_group_IT_number 123
_space_group_name_Hall '-P 4 2'
_cell_length_a 4.1405
_cell_length_b 4.1405
_cell_length_c 4.8339
_cell_angle_alpha 90.00
_cell_angle_beta 90.00
_cell_angle_gamma 90.00
loop_
_atom_site_label
_atom_site_type_symbol
_atom_site_fract_x
_atom_site_fract_y
_atom_site_fract_z
_atom_site_occupancy
Na1 Na 0.0000 0.0000 0.0000 1
Sc1 Sc 0.5000 0.5000 0.5000 1
S1 S 0.0000 0.0000 0.5000 1
N1 N 0.0000 0.5000 0.0000 1
```

This record from the Alexandria database describes crystalline LiDy3Zn2 at its relaxed geometry. The functional is PBE.

Output
As for the calculated total energy: -3.246 eV/atom. The value obtained for the formation energy from the elements is -202 meV/atom. The calculated volume is 277.9 Å³ per cell.

```
data_LiDy3Zn2
_space_group_name_H-M_alt 'P -3 m 1'
_space_group_IT_number 164
_space_group_name_Hall '-P 3 2"'
_cell_length_a 5.0827
_cell_length_b 5.0827
_cell_length_c 12.4208
_cell_angle_alpha 90.00
_cell_angle_beta 90.00
_cell_angle_gamma 120.00
loop_
_atom_site_label
_atom_site_type_symbol
_atom_site_fract_x
_atom_site_fract_y
_atom_site_fract_z
_atom_site_occupancy
Li1 Li 0.3333 0.6667 0.1708 1
Dy1 Dy 0.0000 0.0000 0.2551 1
Dy2 Dy 0.3333 0.6667 0.4216 1
Dy3 Dy 0.3333 0.6667 0.9176 1
Zn1 Zn 0.0000 0.0000 0.0000 1
Zn2 Zn 0.0000 0.0000 0.5000 1
Zn3 Zn 0.3333 0.6667 0.6731 1
```

Q: What is the calculated total energy in the third record?
A: -3.246 eV/atom